Density functional theory data (PBE) for a geometry-optimized MnNb2Pt2 structure.

Calculated values
E_tot	-0.307	hartree per atom
E_form	-84.7	meV/atom
energy above the most stable polymorph in this dataset	0.318	eV per atom
calculated density	12.5	g/cm³
size of the total moment	0.00	μB per atom

a b c (Å): 6.6996 6.6996 3.7424
angles (deg): 90.00 90.00 90.00
Atoms (fractional coordinates):
Mn1 0.0000 0.0000 0.0000
Mn2 0.5000 0.5000 0.0000
Nb1 0.1730 0.3270 0.5000
Nb2 0.3270 0.8270 0.5000
Nb3 0.6730 0.1730 0.5000
Nb4 0.8270 0.6730 0.5000
Pt1 0.1365 0.6365 0.0000
Pt2 0.3635 0.1365 0.0000
Pt3 0.6365 0.8635 0.0000
Pt4 0.8635 0.3635 0.0000


Density functional theory data (PBE) for a geometry-optimized BaCd6Pd6 structure.

Calculated values
E_tot	-0.124	hartree per atom
E_form	-400.5	meV/atom
calculated density	9.2	g/cm³
size of the total moment	0.00	μB per atom

a b c (Å): 7.3623 7.3623 7.3623
angles (deg): 134.77 100.99 96.04
Atoms (fractional coordinates):
Ba1 0.0000 0.0000 0.0000
Cd1 0.1954 0.6954 0.5000
Cd2 0.3444 0.0000 0.3444
Cd3 0.3497 0.3497 0.0000
Cd4 0.6503 0.6503 0.0000
Cd5 0.6556 0.0000 0.6556
Cd6 0.8046 0.3046 0.5000
Pd1 0.0000 0.0000 0.5000
Pd2 0.0000 0.5000 0.0000
Pd3 0.2366 0.5000 0.7366
Pd4 0.5000 0.0000 0.0000
Pd5 0.5000 0.5000 0.5000
Pd6 0.7634 0.5000 0.2634


Density functional theory data (PBE) for a geometry-optimized Be2POs structure.

Calculated values
E_tot	-0.204	hartree per atom
E_form	481.2	meV/atom
calculated density	8.4	g/cm³
size of the total moment	0.21	μB per atom

a b c (Å): 5.0487 5.0487 5.0487
angles (deg): 103.18 103.18 122.97
Atoms (fractional coordinates):
Be1 0.0869 0.6250 0.9619
Be2 0.3750 0.3369 0.4619
Be3 0.6631 0.1250 0.0381
Be4 0.8750 0.9131 0.5381
P1 0.0000 0.0000 0.0000
P2 0.7500 0.2500 0.5000
Os1 0.2500 0.7500 0.5000
Os2 0.5000 0.5000 0.0000


Density functional theory data (PBE) for a geometry-optimized BeGa3Cu structure.

Calculated values
E_tot	-0.102	hartree per atom
E_form	593.7	meV/atom
energy above the most stable polymorph in this dataset	0.178	eV per atom
calculated density	4.7	g/cm³
size of the total moment	0.00	μB per atom

a b c (Å): 4.6380 4.6380 4.6380
angles (deg): 90.00 90.00 90.00
Atoms (fractional coordinates):
Be1 0.0000 0.0000 0.0000
Ga1 0.0000 0.5000 0.5000
Ga2 0.5000 0.0000 0.5000
Ga3 0.5000 0.5000 0.0000
Cu1 0.5000 0.5000 0.5000


Density functional theory data (PBE) for a geometry-optimized CeMoN3 structure.

Calculated values
E_tot	-0.331	hartree per atom
calculated density	7.8	g/cm³
size of the total moment	0.00	μB per atom

a b c (Å): 3.2468 5.2579 6.9466
angles (deg): 90.00 90.00 90.00
Atoms (fractional coordinates):
Ce1 0.2500 0.2500 0.1422
Ce2 0.7500 0.7500 0.8578
Mo1 0.2500 0.7500 0.4144
Mo2 0.7500 0.2500 0.5856
N1 0.2500 0.5054 0.6484
N2 0.2500 0.7500 0.0885
N3 0.2500 0.9946 0.6484
N4 0.7500 0.0054 0.3516
N5 0.7500 0.2500 0.9115
N6 0.7500 0.4946 0.3516


Density functional theory data (PBE) for a geometry-optimized TmTl2GaI6 structure.

Calculated values
E_tot	-0.111	hartree per atom
calculated density	5.2	g/cm³
size of the total moment	0.00	μB per atom

a b c (Å): 8.7163 8.7163 8.7163
angles (deg): 58.20 58.20 58.20
Atoms (fractional coordinates):
Tm1 0.0000 0.0000 0.0000
Tl1 0.3042 0.3042 0.3042
Tl2 0.7956 0.7956 0.7956
Ga1 0.5058 0.5058 0.5058
I1 0.1376 0.3361 0.7584
I2 0.2212 0.8698 0.6560
I3 0.3361 0.7584 0.1376
I4 0.6560 0.2212 0.8698
I5 0.7584 0.1376 0.3361
I6 0.8698 0.6560 0.2212


Q: The lowest E_tot belongs to which entry?
A: CeMoN3


Q: size of the total moment of number 3 (Be2POs)?
A: 0.21 μB per atom


Q: size of the total moment of number 5 (CeMoN3)?
A: 0.00 μB per atom


Q: Which of these has the lowest E_tot?
A: CeMoN3